First-principles (PBE) data for a relaxed structure of Y11Ho4Er9, as listed in Alexandria via LeMat-Bulk.

Calculated values
Space group: No. 65
Calculated density (g/cm3): 6.86
Crystal system: orthorhombic
DOS at the Fermi energy (states/eV/atom): 1.320
Energy of formation from the pure elements (meV per atom): 49

a b c (Å): 3.6581 15.0285 15.0285
angles (deg): 112.93 90.00 90.00
Fractional positions:
Y 0.0000 0.8405 0.1595
Y 0.0000 0.4064 0.0447
Er 0.5000 0.5000 0.5000
Y 0.0000 0.7075 0.7075
Ho 0.5000 0.5538 0.7559
Er 0.5000 0.2143 0.0699
Er 0.5000 0.9301 0.7857
Er 0.5000 0.0699 0.2143
Y 0.0000 0.1595 0.8405
Ho 0.5000 0.4462 0.2441
Y 0.0000 0.6326 0.3674
Er 0.5000 0.1647 0.6317
Y 0.0000 0.0000 0.0000
Y 0.0000 0.2925 0.2925
Y 0.0000 0.0447 0.4064
Er 0.5000 0.7857 0.9301
Y 0.0000 0.5936 0.9553
Ho 0.5000 0.7559 0.5538
Y 0.0000 0.9553 0.5936
Er 0.5000 0.6317 0.1647
Y 0.0000 0.3674 0.6326
Er 0.5000 0.8353 0.3683
Ho 0.5000 0.2441 0.4462
Er 0.5000 0.3683 0.8353